Computed, not measured: a relaxed LaIn2Si crystal at the GGA-PBE level of DFT.

Summary:
E_form (uncorrected) = -1.0 eV per formula unit
Space-group type = Cm, No. 8
Magnetic moment = 0.000 μB/cell
DFT total energy = -16.9 eV per formula unit
DOS at the Fermi energy = 1.81 states/eV per cell

Cell lengths 5.1134, 5.1134, 5.7234 Å; angles 109.37, 109.37, 49.09 degrees
Sites, in units of the cell vectors:
La (0.0000, 0.0000, 0.0000)
In (0.2255, 0.2255, 0.6678)
In (0.4693, 0.4693, 0.4580)
Si (0.7409, 0.7409, 0.3243)

=====

Computed, not measured: a relaxed LaIn2Si crystal at the GGA-PBE level of DFT.

Summary:
E_form (uncorrected) = -1.2 eV per formula unit
Space-group type = I4/mmm, No. 139
Magnetic moment = 0.000 μB/cell
DFT total energy = -17.0 eV per formula unit
DOS at the Fermi energy = 2.14 states/eV per cell

Cell lengths 6.1323, 6.1323, 6.1323 Å; angles 138.34, 138.34, 60.38 degrees
Sites, in units of the cell vectors:
La (0.0000, 0.0000, 0.0000)
In (0.2500, 0.7500, 0.5000)
In (0.7500, 0.2500, 0.5000)
Si (0.5000, 0.5000, 0.0000)

=====

Computed, not measured: a relaxed LaIn2Si2 crystal at the GGA-PBE level of DFT.

Summary:
E_form (uncorrected) = -1.0 eV per formula unit
Space-group type = I4/mmm, No. 139
Magnetic moment = 0.000 μB/cell
DFT total energy = -22.2 eV per formula unit
DOS at the Fermi energy = 3.13 states/eV per cell

Cell lengths 6.9448, 6.9448, 6.9448 Å; angles 143.33, 143.33, 52.82 degrees
Sites, in units of the cell vectors:
La (0.0000, 0.0000, 0.0000)
In (0.2500, 0.7500, 0.5000)
In (0.7500, 0.2500, 0.5000)
Si (0.4079, 0.4079, 0.0000)
Si (0.5921, 0.5921, 0.0000)

=====

Computed, not measured: a relaxed LaIn2Si crystal at the GGA-PBE level of DFT.

Summary:
E_form (uncorrected) = -1.2 eV per formula unit
Space-group type = Pm, No. 6
Magnetic moment = 0.000 μB/cell
DFT total energy = -17.0 eV per formula unit
DOS at the Fermi energy = 2.28 states/eV per cell

Cell lengths 4.6157, 4.0718, 6.1012 Å; angles 90.00, 111.78, 90.00 degrees
Sites, in units of the cell vectors:
La (0.0000, 0.0000, 0.0000)
In (0.2908, 0.0000, 0.5754)
In (0.7137, 0.5000, 0.4192)
Si (0.4654, 0.5000, 0.9322)

=====

Computed, not measured: a relaxed LaIn2Si crystal at the GGA-PBE level of DFT.

Summary:
E_form (uncorrected) = 0.3 eV per formula unit
Space-group type = R-3m, No. 166
Magnetic moment = 0.000 μB/cell
DFT total energy = -15.6 eV per formula unit
DOS at the Fermi energy = 3.75 states/eV per cell

Cell lengths 10.0883, 10.0883, 10.0883 Å; angles 19.88, 19.88, 19.88 degrees
Sites, in units of the cell vectors:
La (0.0000, 0.0000, 0.0000)
In (0.2370, 0.2370, 0.2370)
In (0.7630, 0.7630, 0.7630)
Si (0.5000, 0.5000, 0.5000)

=====

Computed, not measured: a relaxed La12InSi6 crystal at the GGA-PBE level of DFT.

Summary:
E_form (uncorrected) = -10.1 eV per formula unit
Space-group type = Im-3, No. 204
Magnetic moment = 0.000 μB/cell
DFT total energy = -104.5 eV per formula unit
DOS at the Fermi energy = 8.08 states/eV per cell

Cell lengths 9.1132, 9.1132, 9.1132 Å; angles 109.47, 109.47, 109.47 degrees
Sites, in units of the cell vectors:
La (0.1097, 0.2983, 0.8114)
La (0.1886, 0.4868, 0.2983)
La (0.1886, 0.8903, 0.7017)
La (0.2983, 0.1886, 0.4868)
La (0.2983, 0.8114, 0.1097)
La (0.4868, 0.2983, 0.1886)
La (0.5132, 0.7017, 0.8114)
La (0.7017, 0.1886, 0.8903)
La (0.7017, 0.8114, 0.5132)
La (0.8114, 0.1097, 0.2983)
La (0.8114, 0.5132, 0.7017)
La (0.8903, 0.7017, 0.1886)
In (0.0000, 0.0000, 0.0000)
Si (0.1120, 0.5000, 0.6120)
Si (0.3880, 0.8880, 0.5000)
Si (0.5000, 0.3880, 0.8880)
Si (0.5000, 0.6120, 0.1120)
Si (0.6120, 0.1120, 0.5000)
Si (0.8880, 0.5000, 0.3880)

=====

Computed, not measured: a relaxed LaInSi crystal at the GGA-PBE level of DFT.

Summary:
E_form (uncorrected) = -0.7 eV per formula unit
Space-group type = Imm2, No. 44
Magnetic moment = 0.000 μB/cell
DFT total energy = -13.8 eV per formula unit
DOS at the Fermi energy = 2.05 states/eV per cell

Cell lengths 6.2582, 6.2582, 6.2582 Å; angles 149.25, 143.27, 48.63 degrees
Sites, in units of the cell vectors:
La (0.0000, 0.0000, 0.0000)
In (0.2941, 0.2941, 0.0000)
Si (0.6739, 0.6739, 0.0000)

=====

Computed, not measured: a relaxed LaInSi crystal at the GGA-PBE level of DFT.

Summary:
E_form (uncorrected) = -0.8 eV per formula unit
Space-group type = Fmm2, No. 42
Magnetic moment = 0.000 μB/cell
DFT total energy = -13.9 eV per formula unit
DOS at the Fermi energy = 1.40 states/eV per cell

Cell lengths 6.5339, 6.2724, 3.7183 Å; angles 77.02, 69.30, 33.68 degrees
Sites, in units of the cell vectors:
La (0.0000, 0.0000, 0.0000)
In (0.2912, 0.2912, 0.7088)
Si (0.6642, 0.6642, 0.3358)